[1]
DFT (GGA-PBE) results for a geometry-optimized TcAg3Ru structure.

abc: 4.984 4.984 4.984
angles: 90.00 90.00 90.00
Fractional coordinates of all 5 atoms:
Tc 0.000 0.000 0.000
Ag 0.000 0.500 0.500
Ag 0.500 0.000 0.500
Ag 0.500 0.500 0.000
Ru 0.500 0.500 0.500

Values from the calculation:
SG = Pm-3m, No. 221
Total energy = -3.755 eV/atom
Formation energy = 1.88 eV per atom
E above lowest polymorph = 0.000 eV/atom

[2]
DFT (GGA-PBE) results for a geometry-optimized Tc3AgRu structure.

abc: 4.655 4.655 4.655
angles: 90.00 90.00 90.00
Fractional coordinates of all 5 atoms:
Tc 0.000 0.000 0.500
Tc 0.000 0.500 0.000
Tc 0.500 0.000 0.000
Ag 0.500 0.500 0.500
Ru 0.000 0.000 0.000

Values from the calculation:
SG = Pm-3m, No. 221
Total energy = -6.922 eV/atom
Formation energy = 1.72 eV per atom
E above lowest polymorph = 0.000 eV/atom